[1]
Cu2Bi2Se: optimized geometry, PBE.

DOS(E_F) (states/eV/cell): 5.24
Energy relative to the lowest polymorph listed for this composition (eV/f.u.): 0.00
Magnetic moment (μB per atom): 0.00
E_form (uncorrected) (eV per atom): 0.193

Unit cell a=7.1936 b=7.1936 c=4.1493 alpha=90.00 beta=90.00 gamma=90.00
With the nearest neighbours (Å) after each atom.
Atoms (fractional coordinates):
Cu 0.3762 0.8762 0.0000  1 Cu 2.52
Cu 0.8762 0.6238 0.0000  1 Cu 2.52
Cu 0.6238 0.1238 0.0000  1 Cu 2.52
Cu 0.1238 0.3762 0.0000  1 Cu 2.52
Bi 0.1673 0.6673 0.5000  6 Cu 2.96-2.97
Bi 0.6673 0.8327 0.5000  6 Cu 2.96-2.97
Bi 0.8327 0.3327 0.5000  6 Cu 2.96-2.97
Bi 0.3327 0.1673 0.5000  6 Cu 2.96-2.97
Se 0.0000 0.0000 0.0000  4 Cu 2.85
Se 0.5000 0.5000 0.0000  4 Cu 2.85

[2]
CaYFeNi2: optimized geometry, PBE.

Energy of formation (eV/atom): 0.55
DOS(E_F) (states/eV/cell): 7.30
Magnetic moment (μB per atom): 0.00

Unit cell a=4.5764 b=4.5438 c=4.5764 alpha=90.00 beta=90.00 gamma=90.00
With the nearest neighbours (Å) after each atom.
Atoms (fractional coordinates):
Y 0.5000 0.5000 0.5000  8 Ni 3.22, 4 Ca 3.24
Ni 0.0000 0.0000 0.5000  2 Fe 2.29
Ni 0.5000 0.0000 0.0000  2 Fe 2.29
Ca 0.0000 0.5000 0.0000  2 Fe 2.27
Fe 0.0000 0.0000 0.0000  2 Ca 2.27, 4 Ni 2.29

[3]
Rb10Ag2O3: optimized geometry, PBE.

DOS(E_F) (states/eV/cell): 10.38
Magnetic moment (μB per atom): 0.00
E_form (uncorrected) (eV per atom): -0.533

Unit cell a=8.3776 b=11.6079 c=13.9409 alpha=111.01 beta=107.49 gamma=90.00
With the nearest neighbours (Å) after each atom.
Atoms (fractional coordinates):
Rb 0.6372 0.9740 0.7793  2 O 2.76-2.84
Rb 0.1421 0.9740 0.7793  2 O 2.76-2.84
Rb 0.3628 0.0260 0.2207  2 O 2.76-2.84
Rb 0.8579 0.0260 0.2207  2 O 2.76-2.84
Rb 0.6248 0.5235 0.7103  1 O 2.67
Rb 0.0855 0.5235 0.7103  1 O 2.67
Rb 0.3752 0.4765 0.2897  1 O 2.67
Rb 0.9145 0.4765 0.2897  1 O 2.67
Rb 0.9775 0.8241 0.9550  3 O 2.84-3.17
Rb 0.0225 0.1759 0.0450  3 O 2.84-3.17
Rb 0.8636 0.2469 0.7273  2 O 2.78-3.07
Rb 0.1364 0.7531 0.2727  2 O 2.78-3.07
Rb 0.7684 0.7454 0.5367  1 O 2.66
Rb 0.2316 0.2546 0.4633  1 O 2.66
Rb 0.4836 0.8349 0.9672  2 O 2.74
Rb 0.5164 0.1651 0.0328  2 O 2.74
Rb 0.7864 0.5000 0.0000  2 O 2.78
Rb 0.2136 0.5000 0.0000  2 O 2.78
Rb 0.5000 0.0000 0.5000  2 O 2.94
Rb 0.0000 0.0000 0.5000  2 O 2.94
Ag 0.7252 0.2894 0.4505  11 Rb 3.89-4.23
Ag 0.2748 0.7106 0.5495  11 Rb 3.89-4.23
Ag 0.6219 0.7428 0.2438  12 Rb 3.88-4.20
Ag 0.3781 0.2572 0.7562  12 Rb 3.88-4.20
O 0.9256 0.5294 0.8513  4 Rb 2.67-2.78
O 0.0744 0.4706 0.1487  4 Rb 2.67-2.78
O 0.8255 0.9886 0.6509  6 Rb 2.66-2.94
O 0.1745 0.0114 0.3491  6 Rb 2.66-2.94
O 0.7475 0.0000 0.0000  6 Rb 2.74-2.84
O 0.2525 0.0000 0.0000  6 Rb 2.74-2.84

[4]
Sm6DyTm: optimized geometry, PBE.

Energy of formation (eV/atom): 0.02
DOS(E_F) (states/eV/cell): 12.50
Magnetic moment (μB per atom): 0.00

Unit cell a=5.0896 b=5.0896 c=10.1722 alpha=90.00 beta=90.00 gamma=90.00
With the nearest neighbours (Å) after each atom.
Atoms (fractional coordinates):
Sm 0.5000 0.5000 0.0000  4 Dy 3.60, 8 Sm 3.60
Sm 0.5000 0.5000 0.5000  8 Sm 3.59, 4 Tm 3.60
Sm 0.5000 0.0000 0.2508  2 Tm 3.59, 8 Sm 3.59-3.60, 2 Dy 3.60
Sm 0.5000 0.0000 0.7492  2 Tm 3.59, 8 Sm 3.59-3.60, 2 Dy 3.60
Sm 0.0000 0.5000 0.2508  2 Tm 3.59, 8 Sm 3.59-3.60, 2 Dy 3.60
Sm 0.0000 0.5000 0.7492  2 Tm 3.59, 8 Sm 3.59-3.60, 2 Dy 3.60
Dy 0.0000 0.0000 0.0000  12 Sm 3.60
Tm 0.0000 0.0000 0.5000  12 Sm 3.59-3.60

[5]
Al2OsSe: optimized geometry, PBE.

DOS(E_F) (states/eV/cell): 0.80
Magnetic moment (μB per atom): 0.00
E_form (uncorrected) (eV per atom): -0.035

Unit cell a=3.3931 b=3.3932 c=6.2774 alpha=90.00 beta=90.00 gamma=90.00
With the nearest neighbours (Å) after each atom.
Atoms (fractional coordinates):
Os 0.0000 0.0000 0.3870  5 Al 2.41-2.50
Al 0.0000 0.0000 0.0026  1 Os 2.41, 4 Se 2.62
Al 0.5000 0.5000 0.2768  4 Os 2.50, 1 Se 2.78
Se 0.5000 0.5000 0.8336  5 Al 2.62-2.78

[6]
Fe2CuW: optimized geometry, PBE.

Energy of formation (eV/atom): 0.17
DOS(E_F) (states/eV/cell): 3.19
Energy relative to the lowest polymorph listed for this composition (eV/f.u.): 0.00
Magnetic moment (μB per atom): 0.62

Unit cell a=4.4354 b=4.4354 c=4.4354 alpha=130.30 beta=130.31 gamma=72.91
With the nearest neighbours (Å) after each atom.
Atoms (fractional coordinates):
Cu 0.2500 0.7500 0.5000  8 Fe 2.58, 4 W 2.64
Fe 0.0000 0.0000 0.0000  4 Cu 2.58, 4 W 2.58, 4 Fe 2.64
Fe 0.5000 0.5000 0.0000  4 Cu 2.58, 4 W 2.58, 4 Fe 2.64
W 0.7500 0.2500 0.5000  8 Fe 2.58, 4 Cu 2.64

[7]
NdIn2Hg2: optimized geometry, PBE.

Energy of formation (eV/atom): -0.04
DOS(E_F) (states/eV/cell): 8.16
Magnetic moment (μB per atom): 0.00

Unit cell a=5.2004 b=5.2004 c=12.7786 alpha=90.00 beta=90.00 gamma=120.00
With the nearest neighbours (Å) after each atom.
Atoms (fractional coordinates):
Nd 0.0000 0.0000 0.2500  5 In 3.00-3.19
Nd 0.0000 0.0000 0.7500  5 In 3.00-3.19
In 0.6667 0.3333 0.7500  3 Nd 3.00
In 0.0000 0.0000 0.0000  2 Nd 3.19, 6 Hg 3.36
In 0.0000 0.0000 0.5000  2 Nd 3.19, 6 Hg 3.36
In 0.3333 0.6667 0.2500  3 Nd 3.00
Hg 0.3333 0.6667 0.6181  6 In 3.36-3.44, 1 Hg 3.37, 3 Nd 3.44
Hg 0.6667 0.3333 0.1181  6 In 3.36-3.44, 1 Hg 3.37, 3 Nd 3.44
Hg 0.6667 0.3333 0.3819  6 In 3.36-3.44, 1 Hg 3.37, 3 Nd 3.44
Hg 0.3333 0.6667 0.8819  6 In 3.36-3.44, 1 Hg 3.37, 3 Nd 3.44

[8]
Sr6Cd2Ir: optimized geometry, PBE.

Energy of formation (eV/atom): -0.23
DOS(E_F) (states/eV/cell): 11.31
Magnetic moment (μB per atom): 0.00

Unit cell a=7.4645 b=8.8355 c=11.1834 alpha=90.00 beta=89.99 gamma=90.00
With the nearest neighbours (Å) after each atom.
Atoms (fractional coordinates):
Sr 0.1184 0.0273 0.2525  1 Ir 2.92
Sr 0.1510 0.3011 0.5554  1 Ir 2.96
Sr 0.1704 0.3349 0.9452  1 Ir 2.93
Sr 0.3296 0.8349 0.5548  1 Ir 2.93
Sr 0.3490 0.8011 0.9446  1 Ir 2.96
Sr 0.3816 0.5273 0.2475  1 Ir 2.92
Sr 0.8816 0.9727 0.7475  1 Ir 2.92
Sr 0.8490 0.6989 0.4446  1 Ir 2.96
Sr 0.8296 0.6651 0.0548  1 Ir 2.93
Sr 0.6704 0.1651 0.4452  1 Ir 2.93
Sr 0.6510 0.1989 0.0554  1 Ir 2.96
Sr 0.6184 0.4727 0.7525  1 Ir 2.92
Cd 0.0595 0.6118 0.7418  7 Sr 3.44-3.76
Cd 0.4405 0.1118 0.7582  7 Sr 3.44-3.76
Cd 0.5595 0.8882 0.2418  7 Sr 3.44-3.76
Cd 0.9405 0.3882 0.2582  7 Sr 3.44-3.76
Ir 0.5000 0.5000 0.0000  6 Sr 2.92-2.96
Ir 0.0000 0.0000 0.5000  6 Sr 2.92-2.96